(1)
Here is a relaxed AlInAg2 crystal from the Alexandria database. Energies are from PBE-GGA.

Cell: 7.755 7.755 6.174 Å, 51.09 51.09 90.00°
Fractional positions:
Al: 0.500 0.500 0.000
Al: 0.250 0.750 0.500
Ag: 0.591 0.125 0.250
Ag: 0.159 0.625 0.250
Ag: 0.375 0.409 0.750
Ag: 0.875 0.841 0.750
In: 0.000 0.000 0.000
In: 0.750 0.250 0.500

Calculated values
energy of formation	0.1994	eV/atom
space-group type	I-42d


(2)
Here is a relaxed SmY2Th3As6 crystal from the Alexandria database. Energies are from PBE-GGA.

Cell: 7.301 7.301 7.250 Å, 99.68 99.68 119.92°
Fractional positions:
Sm: 0.000 0.000 0.000
Y: 0.333 0.667 0.000
Y: 0.667 0.333 0.000
Th: 0.166 0.834 0.500
Th: 0.834 0.166 0.500
Th: 0.500 0.500 0.500
As: 0.918 0.582 0.755
As: 0.745 0.745 0.244
As: 0.082 0.418 0.245
As: 0.582 0.918 0.755
As: 0.255 0.255 0.756
As: 0.418 0.082 0.245

Calculated values
energy of formation	-1.4788	eV/atom
space-group type	C2/m


(3)
Here is a relaxed Tl3NiAs crystal from the Alexandria database. Energies are from PBE-GGA.

Cell: 5.103 5.103 5.103 Å, 90.00 90.00 90.00°
Fractional positions:
Ni: 0.000 0.000 0.000
Tl: 0.000 0.500 0.000
Tl: 0.000 0.000 0.500
Tl: 0.500 0.000 0.000
As: 0.500 0.500 0.500

Calculated values
energy of formation	0.2944	eV/atom
energy above the most stable polymorph in this dataset	0.00	eV per formula unit
space-group type	Pm-3m


(4)
Here is a relaxed PuSbF crystal from the Alexandria database. Energies are from PBE-GGA.

Cell: 4.677 4.080 4.080 Å, 120.00 90.00 90.00°
Fractional positions:
Sb: 0.667 0.667 0.333
F: 0.167 0.333 0.667
Pu: 0.167 0.000 0.000

Calculated values
energy above the most stable polymorph in this dataset	0.00	eV per formula unit
formation energy (no corrections)	-1.7228	eV/atom
space-group type	P-6m2


(5)
Here is a relaxed KCr2Cu crystal from the Alexandria database. Energies are from PBE-GGA.

Cell: 4.549 4.549 7.076 Å, 82.99 82.99 38.40°
Fractional positions:
Cr: 0.029 0.029 0.874
Cr: 0.750 0.750 0.767
Cu: 0.477 0.477 0.598
K: 0.244 0.244 0.261

Calculated values
energy of formation	0.7519	eV/atom
energy above the most stable polymorph in this dataset	0.44	eV per formula unit
space-group type	Cm


(6)
Here is a relaxed InSiCl4 crystal from the Alexandria database. Energies are from PBE-GGA.

Cell: 5.982 5.982 5.982 Å, 60.00 60.00 60.00°
Fractional positions:
In: 0.750 0.750 0.750
Si: 0.000 0.000 0.000
Cl: 0.875 0.375 0.375
Cl: 0.375 0.375 0.875
Cl: 0.375 0.875 0.375
Cl: 0.375 0.375 0.375

Calculated values
formation energy (no corrections)	0.4977	eV/atom
space-group type	F-43m